[1]
Sm4ZnCu: relaxed, PBE-GGA.

Computed properties:
The energy of formation from the pure elements is 0.07 eV/atom. As for the density of states at the Fermi level: 10.1 states/eV per cell. Its space group is P4/mmm (123). The value obtained for the excess energy over the best structure of this formula in the dataset is 0.2121 eV/atom. Its volume is 175.8 Å³ per cell.

Cell: 4.971 4.973 7.112 Å, 89.97 89.98 90.00°
Positions (direct):
Sm1 0.501 0.997 0.255
Sm2 0.501 0.998 0.741
Sm3 0.001 0.498 0.741
Sm4 0.001 0.497 0.255
Zn1 0.501 0.497 0.998
Cu1 0.001 0.997 0.498


[2]
YInTc2: relaxed, PBE-GGA.

Computed properties:
The energy of formation from the pure elements is 0.07 eV/atom. As for the density of states at the Fermi level: 3.5 states/eV per cell. Its space group is Imm2 (44). Its volume is 77.1 Å³ per cell.

Cell: 5.650 5.650 4.719 Å, 65.35 65.35 34.67°
Positions (direct):
In1 0.269 0.269 0.231
Tc1 0.022 0.022 0.978
Tc2 0.722 0.722 0.778
Y1 0.488 0.488 0.513


[3]
MnMoPd4: relaxed, PBE-GGA.

Computed properties:
The energy of formation from the pure elements is -0.13 eV/atom. As for the density of states at the Fermi level: 5.5 states/eV per cell. Its space group is P4/mmm (123). Its volume is 91.2 Å³ per cell.

Cell: 2.807 2.807 11.579 Å, 90.00 90.00 90.00°
Positions (direct):
Mn1 0.500 0.500 0.500
Mo1 0.000 0.000 0.000
Pd1 0.500 0.500 0.166
Pd2 0.000 0.000 0.656
Pd3 0.000 0.000 0.344
Pd4 0.500 0.500 0.834


Among the records above, which one has the lowest energy of formation from the pure elements?
MnMoPd4


Which of these has the lowest volume?
YInTc2


What is the formula in the second record?
YInTc2


What is the formula in the third record?
MnMoPd4